Computed, not measured: a PBEsol-optimized structure of YCuSb2Te at the meta-GGA SCAN level of DFT.

D(E_F) in states/eV/atom: 0.66
Formation energy without anion corrections in meV/atom: -68
M_tot in μB/cell: 0.00
SG: P4/mmm, No. 123

a = 4.989 Å, b = 4.989 Å, c = 5.213 Å
α = 90.00°, β = 90.00°, γ = 90.00°
Positions (direct):
Y 0.000 0.000 0.000
Cu 0.500 0.500 0.500
Sb 0.000 0.500 0.500
Sb 0.500 0.000 0.500
Te 0.500 0.500 0.000